Run i
LaPm8Tm2 | GGA-PBE | optimized geometry

Computed properties:
The crystal system is orthorhombic. The space group is Immm (71). The density of states at the Fermi level is 1.525 states/eV/atom.

Geometry as POSCAR:
```
LaPm8Tm2
1.0
-2.830 4.171 7.999
2.830 -4.171 7.999
2.830 4.171 -7.999
La Pm Tm
1 8 2
Cartesian
0.000 0.000 0.000
2.830 -1.697 5.759
2.830 0.000 2.620
2.830 2.468 0.000
0.000 2.473 2.240
2.830 1.697 5.759
0.000 1.703 7.999
0.000 4.171 5.378
0.000 5.868 2.240
0.000 0.000 4.803
0.000 0.000 11.195
```

---

Run ii
LaPm8Tm2 | GGA-PBE | optimized geometry

Computed properties:
The crystal system is monoclinic. The space group is C2/m (12). The density of states at the Fermi level is 1.506 states/eV/atom.

Geometry as POSCAR:
```
LaPm8Tm2
1.0
9.757 -3.540 0.000
9.757 3.540 0.000
-0.313 0.000 5.635
La Pm Tm
1 8 2
Cartesian
0.000 0.000 0.000
7.041 1.630 1.510
3.615 0.000 1.312
12.160 1.630 4.125
8.642 0.000 4.285
10.559 0.000 1.350
7.041 -1.630 1.510
15.586 0.000 4.323
12.160 -1.630 4.125
5.324 0.000 4.211
13.876 0.000 1.423
```

---

Most stable: run i. Least stable: run ii.

---

Run i
LaPm2Tm5 | GGA-PBE | optimized geometry

Computed properties:
The crystal system is orthorhombic. The space group is Immm (71). The density of states at the Fermi level is 1.393 states/eV/atom.

Geometry as POSCAR:
```
LaPm2Tm5
1.0
-1.773 5.559 6.530
1.773 -5.559 6.530
1.773 5.559 -6.530
La Pm Tm
1 2 5
Cartesian
0.000 0.000 0.000
1.773 0.000 3.168
0.000 5.559 3.362
1.773 3.024 -1.734
1.773 3.024 1.734
0.000 5.559 0.000
0.000 2.535 4.795
0.000 2.535 8.264
```

---

Run ii
LaPm2Tm5 | GGA-PBE | optimized geometry

Computed properties:
The crystal system is tetragonal. The space group is I4/mmm (139). The density of states at the Fermi level is 1.284 states/eV/atom.

Geometry as POSCAR:
```
LaPm2Tm5
1.0
-3.580 3.580 4.958
3.580 -3.580 4.958
3.580 3.580 -4.958
La Pm Tm
1 2 5
Cartesian
0.000 0.000 0.000
3.580 0.000 0.000
0.000 3.580 0.000
1.790 1.790 -2.479
1.790 -1.790 2.479
-1.790 1.790 2.479
0.000 0.000 4.958
1.790 1.790 2.479
```

---

Most stable: run ii. Least stable: run i.

---

Run i
La3PmTm2 | GGA-PBE | optimized geometry

Computed properties:
The crystal system is monoclinic. The space group is C2/c (15). The density of states at the Fermi level is 1.848 states/eV/atom.

Geometry as POSCAR:
```
La3PmTm2
1.0
9.539 -3.273 0.000
9.539 3.273 0.000
-2.806 0.000 6.764
La Pm Tm
6 2 4
Cartesian
0.833 0.041 6.298
2.236 -0.041 2.916
7.434 1.753 5.073
8.837 -1.753 1.691
14.035 0.041 3.848
15.438 -0.041 0.466
8.837 1.517 1.691
7.434 -1.517 5.073
5.771 0.000 2.399
4.368 0.000 5.781
11.904 0.000 0.983
10.501 0.000 4.365
```

---

Run ii
La3PmTm2 | GGA-PBE | optimized geometry

Computed properties:
The crystal system is orthorhombic. The space group is Immm (71). The density of states at the Fermi level is 1.669 states/eV/atom.

Geometry as POSCAR:
```
La3PmTm2
1.0
-1.748 3.003 9.894
1.748 -3.003 9.894
1.748 3.003 -9.894
La Pm Tm
3 1 2
Cartesian
0.000 0.000 0.000
1.748 0.000 6.160
0.000 3.003 3.734
0.000 3.003 0.000
1.748 0.000 2.721
0.000 3.003 7.173
```

---

Most stable: run i. Least stable: run ii.

---

Run i
La4PmTm | GGA-PBE | optimized geometry

Computed properties:
The crystal system is monoclinic. The space group is P2_1/c (14). The density of states at the Fermi level is 1.542 states/eV/atom.

Geometry as POSCAR:
```
La4PmTm
1.0
7.099 0.000 0.000
0.000 10.092 0.000
-0.023 0.000 5.863
La Pm Tm
8 2 2
Cartesian
1.734 1.694 0.002
1.723 3.352 2.933
1.718 6.789 2.934
1.729 8.349 0.003
5.347 1.743 5.860
5.359 3.303 2.929
5.354 6.740 2.930
5.342 8.398 5.861
3.538 0.000 2.932
3.550 5.046 0.000
-0.011 0.000 2.932
0.000 5.046 0.000
```

---

Run ii
La4PmTm | GGA-PBE | optimized geometry

Computed properties:
The crystal system is monoclinic. The space group is C2/m (12). The density of states at the Fermi level is 1.998 states/eV/atom.

Geometry as POSCAR:
```
La4PmTm
1.0
5.696 -3.060 0.000
5.696 3.060 0.000
-0.002 0.000 6.111
La Pm Tm
4 1 1
Cartesian
1.788 0.000 0.006
3.898 0.000 3.060
7.493 0.000 3.052
9.603 0.000 6.106
5.696 0.000 0.000
-0.001 0.000 3.056
```

---

Most stable: run i. Least stable: run ii.

---

Run i
LaPm7Tm3 | GGA-PBE | optimized geometry

Computed properties:
The crystal system is monoclinic. The space group is P2_1/m (11). The density of states at the Fermi level is 1.457 states/eV/atom.

Geometry as POSCAR:
```
LaPm7Tm3
1.0
7.034 0.000 0.000
0.000 11.140 0.000
-3.430 0.000 9.621
La Pm Tm
2 14 6
Cartesian
0.000 0.000 0.000
0.000 5.570 0.000
-1.684 0.497 6.524
-1.684 5.073 6.524
-1.606 8.355 7.880
1.757 2.785 1.042
1.981 8.355 1.730
1.826 0.175 3.197
1.826 5.395 3.197
1.778 5.745 6.423
1.778 10.965 6.423
1.623 2.785 7.890
1.847 8.355 8.578
5.210 2.785 1.740
5.288 6.067 3.097
5.288 10.643 3.097
0.073 2.785 4.559
0.129 8.355 4.923
3.517 0.000 0.000
3.517 5.570 0.000
3.475 2.785 4.698
3.531 8.355 5.062
```

---

Run ii
LaPm7Tm3 | GGA-PBE | optimized geometry

Computed properties:
The crystal system is trigonal. The space group is P3m1 (156). The density of states at the Fermi level is 1.591 states/eV/atom.

Geometry as POSCAR:
```
LaPm7Tm3
1.0
7.198 0.000 0.000
-3.599 6.233 0.000
0.000 0.000 8.654
La Pm Tm
1 7 3
Cartesian
0.000 0.000 0.000
-1.793 3.120 0.151
1.796 1.037 5.769
0.000 4.155 5.905
1.793 3.120 0.151
0.000 6.226 0.151
5.402 1.037 5.769
3.599 4.160 5.769
0.000 2.086 2.973
-1.792 5.190 2.973
1.792 5.190 2.973
```

---

Most stable: run i. Least stable: run ii.

---

Run i
La4Pm7Tm | GGA-PBE | optimized geometry

Computed properties:
The crystal system is monoclinic. The space group is C2/m (12). The density of states at the Fermi level is 1.753 states/eV/atom.

Geometry as POSCAR:
```
La4Pm7Tm
1.0
6.110 -3.061 0.000
6.110 3.061 0.000
-5.986 0.000 11.619
La Pm Tm
4 7 1
Cartesian
-1.366 0.000 3.917
3.112 0.000 2.571
3.121 0.000 9.048
7.599 0.000 7.702
0.000 0.000 0.000
-2.956 0.000 10.729
-0.921 0.000 8.061
1.461 0.000 5.761
4.772 0.000 5.858
7.154 0.000 3.558
9.189 0.000 0.889
6.110 0.000 0.000
```

---

Run ii
La4Pm7Tm | GGA-PBE | optimized geometry

Computed properties:
The crystal system is triclinic. The space group is P-1 (2). The density of states at the Fermi level is 1.443 states/eV/atom.

Geometry as POSCAR:
```
La4Pm7Tm
1.0
6.401 0.000 0.000
0.010 7.355 0.000
2.159 0.008 8.946
La Pm Tm
4 7 1
Cartesian
2.113 1.862 2.948
3.233 7.353 5.977
5.336 0.010 2.969
6.457 5.501 5.998
0.016 5.498 0.005
2.133 5.492 2.915
3.263 3.680 6.003
3.200 0.000 0.000
5.306 3.683 2.943
6.436 1.871 6.031
8.553 1.865 8.941
3.205 3.678 0.000
```

---

Most stable: run ii. Least stable: run i.

---

Run i
La6PmTm4 | GGA-PBE | optimized geometry

Computed properties:
The crystal system is orthorhombic. The space group is Cmcm (63). The density of states at the Fermi level is 1.629 states/eV/atom.

Geometry as POSCAR:
```
La6PmTm4
1.0
2.932 -4.945 0.000
2.932 4.945 0.000
0.000 0.000 26.338
La Pm Tm
12 2 8
Cartesian
0.000 0.000 0.000
0.000 0.000 13.169
2.932 4.656 19.754
2.932 1.808 2.503
2.932 1.808 10.667
2.932 1.417 17.935
2.932 1.417 21.573
2.932 -1.417 4.766
2.932 -1.417 8.404
2.932 -1.808 15.672
2.932 -1.808 23.836
2.932 -4.656 6.585
2.932 1.891 6.585
2.932 -1.891 19.754
2.932 4.731 16.456
2.932 4.731 23.052
2.932 1.574 14.378
2.932 1.574 25.130
2.932 -1.574 1.209
2.932 -1.574 11.961
2.932 -4.731 3.287
2.932 -4.731 9.883
```

---

Run ii
La6PmTm4 | GGA-PBE | optimized geometry

Computed properties:
The crystal system is hexagonal. The space group is P-6m2 (187). The density of states at the Fermi level is 1.542 states/eV/atom.

Geometry as POSCAR:
```
La6PmTm4
1.0
11.171 0.000 0.000
-5.586 9.675 0.000
0.000 0.000 3.606
La Pm Tm
6 1 4
Cartesian
0.000 3.532 0.000
-2.527 7.909 0.000
5.586 0.524 1.803
3.247 4.575 1.803
2.527 7.909 0.000
7.924 4.575 1.803
0.000 0.000 1.803
2.672 1.543 0.000
0.000 6.450 1.803
8.499 1.543 0.000
5.586 6.589 0.000
```

---

Most stable: run i. Least stable: run ii.

---

Run i
La5Pm4Tm2 | GGA-PBE | optimized geometry

Computed properties:
The crystal system is monoclinic. The space group is C2/m (12). The density of states at the Fermi level is 1.760 states/eV/atom.

Geometry as POSCAR:
```
La5Pm4Tm2
1.0
12.260 -1.811 0.000
12.260 1.811 0.000
-2.804 0.000 8.871
La Pm Tm
5 4 2
Cartesian
0.000 0.000 0.000
6.387 0.000 5.234
9.083 0.000 0.306
12.633 0.000 8.565
15.329 0.000 3.637
3.424 0.000 7.221
9.955 0.000 5.973
11.761 0.000 2.897
18.292 0.000 1.649
0.616 0.000 5.556
21.100 0.000 3.315
```

---

Run ii
La5Pm4Tm2 | GGA-PBE | optimized geometry

Computed properties:
The crystal system is monoclinic. The space group is C2/m (12). The density of states at the Fermi level is 1.520 states/eV/atom.

Geometry as POSCAR:
```
La5Pm4Tm2
1.0
8.779 -1.819 0.000
8.779 1.819 0.000
-1.148 0.000 11.994
La Pm Tm
5 4 2
Cartesian
0.000 0.000 0.000
3.620 0.000 4.444
4.377 0.000 10.762
12.033 0.000 1.232
12.790 0.000 7.550
6.276 0.000 2.136
7.078 0.000 8.357
9.332 0.000 3.636
10.134 0.000 9.858
0.947 0.000 6.797
15.463 0.000 5.197
```

---

Most stable: run ii. Least stable: run i.

---

Run i
La2Pm2Tm7 | GGA-PBE | optimized geometry

Computed properties:
The crystal system is monoclinic. The space group is C2/m (12). The density of states at the Fermi level is 1.623 states/eV/atom.

Geometry as POSCAR:
```
La2Pm2Tm7
1.0
5.665 -5.797 0.000
5.665 5.797 0.000
-2.467 0.000 5.539
La Pm Tm
2 2 7
Cartesian
5.665 3.384 0.000
5.665 -3.384 0.000
2.840 0.000 3.797
6.022 0.000 1.742
-1.234 0.000 2.770
2.905 3.055 1.812
2.509 0.000 0.425
5.957 3.055 3.727
2.905 -3.055 1.812
6.353 0.000 5.115
5.957 -3.055 3.727
```

---

Run ii
La2Pm2Tm7 | GGA-PBE | optimized geometry

Computed properties:
The crystal system is monoclinic. The space group is C2/m (12). The density of states at the Fermi level is 1.627 states/eV/atom.

Geometry as POSCAR:
```
La2Pm2Tm7
1.0
5.653 -5.792 0.000
5.653 5.792 0.000
-2.475 0.000 5.560
La Pm Tm
2 2 7
Cartesian
0.383 0.000 1.741
8.448 0.000 3.818
5.653 2.414 0.000
5.653 -2.414 0.000
2.906 2.767 1.786
0.762 0.000 5.156
5.926 2.767 3.774
4.416 0.000 2.780
2.906 -2.767 1.786
8.069 0.000 0.403
5.926 -2.767 3.774
```

---

Most stable: run ii. Least stable: run i.

---

Run i
LaPm6Tm4 | GGA-PBE | optimized geometry

Computed properties:
The crystal system is orthorhombic. The space group is Cmcm (63). The density of states at the Fermi level is 1.725 states/eV/atom.

Geometry as POSCAR:
```
LaPm6Tm4
1.0
2.921 -4.846 0.000
2.921 4.846 0.000
0.000 0.000 25.928
La Pm Tm
2 12 8
Cartesian
2.921 2.839 19.446
2.921 -2.839 6.482
2.921 3.624 4.656
2.921 3.624 8.308
2.921 2.937 15.485
2.921 2.937 23.406
2.921 0.449 6.482
2.921 0.000 0.000
2.921 0.000 12.964
2.921 -0.449 19.446
2.921 -2.937 2.522
2.921 -2.937 10.442
2.921 -3.624 17.620
2.921 -3.624 21.272
2.921 3.368 1.123
2.921 3.368 11.841
2.921 0.380 3.210
2.921 0.380 9.754
2.921 -0.380 16.174
2.921 -0.380 22.718
2.921 -3.368 14.087
2.921 -3.368 24.805
```

---

Run ii
LaPm6Tm4 | GGA-PBE | optimized geometry

Computed properties:
The crystal system is hexagonal. The space group is P-6m2 (187). The density of states at the Fermi level is 1.386 states/eV/atom.

Geometry as POSCAR:
```
LaPm6Tm4
1.0
11.098 0.000 0.000
-5.549 9.611 0.000
0.000 0.000 3.568
La Pm Tm
1 6 4
Cartesian
0.000 0.000 0.000
0.000 3.511 1.784
-2.509 7.856 1.784
5.549 0.364 0.000
3.090 4.624 0.000
2.509 7.856 1.784
8.008 4.624 0.000
2.750 1.588 1.784
0.000 6.407 0.000
8.348 1.588 1.784
5.549 6.436 1.784
```

---

Most stable: run i. Least stable: run ii.